Record 1
The following is a GGA-PBE calculation of crystalline K2Dy2UTe6 at its relaxed geometry, from Alexandria via LeMat-Bulk.

Calculated values
- uncorrected formation energy (eV per atom) = -1.18

Geometry as POSCAR:
```
K2Dy2UTe6
1.0
-7.5569 0.9076 -0.9438
2.7830 -6.7765 2.2705
0.8851 4.3731 7.6072
K Dy U Te
2 2 1 6
direct
0.8325 0.1675 0.0000
0.1675 0.8325 0.0000
0.3323 0.6677 0.5000
0.6677 0.3323 0.5000
0.0000 0.0000 0.5000
0.7371 0.7371 0.7049
0.0717 0.4008 0.7068
0.2629 0.2629 0.2951
0.4008 0.0717 0.7068
0.9283 0.5992 0.2932
0.5992 0.9283 0.2932
```

Record 2
The following is a GGA-PBE calculation of crystalline BaPmHgGe at its relaxed geometry, from Alexandria via LeMat-Bulk.

Calculated values
- total energy (eV per atom) = -3.3126

Geometry as POSCAR:
```
BaPmHgGe
1.0
-2.5854 2.5092 4.2217
-5.3687 -1.0217 0.9677
-1.5061 -2.9293 4.4669
Ba Ge Hg Pm
1 1 1 1
direct
0.5000 0.5000 0.5000
0.2500 0.2500 0.2500
0.7500 0.7500 0.7500
0.0000 0.0000 0.0000
```

Record 3
The following is a GGA-PBE calculation of crystalline Tb11Ho4Er9 at its relaxed geometry, from Alexandria via LeMat-Bulk.

Calculated values
- total energy (eV per atom) = -4.5437

Geometry as POSCAR:
```
Tb11Ho4Er9
1.0
3.6265 0.0000 0.0000
0.0000 13.8088 -5.8808
0.0000 0.0190 15.0089
Tb Ho Er
11 4 9
direct
0.0000 0.5931 0.9552
0.0000 0.4069 0.0448
0.0000 0.9552 0.5931
0.0000 0.0448 0.4069
0.0000 0.6326 0.3674
0.0000 0.3674 0.6326
0.0000 0.8402 0.1598
0.0000 0.1598 0.8402
0.0000 0.0000 0.0000
0.0000 0.7079 0.7079
0.0000 0.2921 0.2921
0.5000 0.5543 0.7563
0.5000 0.4457 0.2437
0.5000 0.7563 0.5543
0.5000 0.2437 0.4457
0.5000 0.6318 0.1643
0.5000 0.3682 0.8357
0.5000 0.1643 0.6318
0.5000 0.8357 0.3682
0.5000 0.7862 0.9318
0.5000 0.2138 0.0682
0.5000 0.9318 0.7862
0.5000 0.0682 0.2138
0.5000 0.5000 0.5000
```

Record 4
The following is a GGA-PBE calculation of crystalline AcErTlPb at its relaxed geometry, from Alexandria via LeMat-Bulk.

Calculated values
- total energy (eV per atom) = -4.0283

Geometry as POSCAR:
```
AcErTlPb
1.0
5.6366 0.0000 0.0000
2.8183 4.8814 0.0000
2.8183 1.6271 4.6022
Pb Ac Tl Er
1 1 1 1
direct
0.5000 0.5000 0.5000
0.7500 0.7500 0.7500
0.0000 0.0000 0.0000
0.2500 0.2500 0.2500
```

Record 5
The following is a GGA-PBE calculation of crystalline TmIrRh2C at its relaxed geometry, from Alexandria via LeMat-Bulk.

Calculated values
- total energy (eV per atom) = -7.9266

Geometry as POSCAR:
```
TmIrRh2C
1.0
4.0906 0.0000 0.0000
0.0000 4.2177 0.0000
0.0000 0.0000 4.2177
Tm Ir Rh C
1 1 2 1
direct
0.5000 0.5000 0.5000
0.5000 0.0000 0.0000
0.0000 0.0000 0.5000
0.0000 0.5000 0.0000
0.0000 0.0000 0.0000
```

Record 6
The following is a GGA-PBE calculation of crystalline CsTl5Cd at its relaxed geometry, from Alexandria via LeMat-Bulk.

Calculated values
- total energy (eV per atom) = -1.9688

Geometry as POSCAR:
```
CsTl5Cd
1.0
4.8288 0.0000 0.0000
0.0000 4.8288 0.0000
0.0000 0.0000 11.1004
Cs Tl Cd
1 5 1
direct
0.0000 0.0000 0.5000
0.0000 0.5000 0.2097
0.0000 0.5000 0.7903
0.5000 0.0000 0.2097
0.5000 0.0000 0.7903
0.0000 0.0000 0.0000
0.5000 0.5000 0.0000
```

Record 7
The following is a GGA-PBE calculation of crystalline V3InCu at its relaxed geometry, from Alexandria via LeMat-Bulk.

Calculated values
- total energy (eV per atom) = -5.8883

Geometry as POSCAR:
```
V3InCu
1.0
4.4486 0.0000 0.0000
0.0000 4.4486 0.0000
0.0000 0.0000 4.4486
In Cu V
1 1 3
direct
0.5000 0.5000 0.5000
0.0000 0.0000 0.0000
0.0000 0.5000 0.0000
0.0000 0.0000 0.5000
0.5000 0.0000 0.0000
```

Record 8
The following is a GGA-PBE calculation of crystalline MgTa2Te at its relaxed geometry, from Alexandria via LeMat-Bulk.

Calculated values
- uncorrected formation energy (eV per atom) = 0.28

Geometry as POSCAR:
```
MgTa2Te
1.0
-1.5125 -0.9474 -2.8594
-1.7814 -3.8735 2.2257
-5.1579 -0.0042 2.7296
Mg Ta Te
1 2 1
direct
0.0000 0.0000 0.5000
0.0000 0.0000 0.0000
0.5000 0.5000 0.0000
0.5000 0.5000 0.5000
```

The records above yield magnetization values of 2.00; 0.00; 0.00; 0.00; 0.00; 0.00; 1.28; 0.00 μB/f.u., respectively.